## Er6IrI10 (PBE-GGA)

Data for an optimized crystal structure of Er6IrI10.

Results
Total energy ... -4.28 eV per atom
Uncorrected formation energy ... -1.2386 eV/atom
Total magnetization ... 0.8 Bohr magnetons per cell

Unit cell a=7.7065 b=9.6539 c=9.7118 alpha=106.93 beta=96.51 gamma=104.14
Space group P-1 (No. 2)
Asymmetric unit:
Er (0.0331, 0.2202, 0.4174) [2 per cell]
Er (0.1148, 0.5433, 0.2610) [2 per cell]
Er (0.3439, 0.6227, 0.6642) [2 per cell]
Ir (0.0000, 0.5000, 0.5000) [1 per cell]
I (0.0876, 0.8745, 0.3220) [2 per cell]
I (0.2294, 0.2472, 0.1582) [2 per cell]
I (0.2533, 0.5854, 0.9611) [2 per cell]
I (0.3425, 0.9480, 0.7728) [2 per cell]
I (0.4547, 0.3157, 0.5920) [2 per cell]